[1]
Material: Gd2H4Pd
Method: DFT, PBE
State: optimized geometry

The value obtained for the total energy is -7.142 eV per atom. The crystal system is tetragonal.

It has space group I4/mmm (No. 139), with a = 3.566 Å, b = 3.566 Å, c = 13.302 Å, α = 90.00°, β = 90.00° and γ = 90.00°. The inequivalent atoms are Gd at (0.000, 0.000, 0.154), H at (0.000, 0.000, 0.327), H at (0.000, 0.500, 0.000) and Pd at (0.000, 0.000, 0.500).

=====

[2]
Material: Pm3GdH
Method: DFT, PBE
State: optimized geometry

The value obtained for the total energy is -6.514 eV per atom. The crystal system is cubic.

It has space group Pm-3m (No. 221), with a = 5.119 Å, b = 5.119 Å, c = 5.119 Å, α = 90.00°, β = 90.00° and γ = 90.00°. The inequivalent atoms are Pm at (0.000, 0.000, 0.500), Gd at (0.500, 0.500, 0.500) and H at (0.000, 0.000, 0.000).

=====

[3]
Material: PmGdH2
Method: DFT, PBE
State: optimized geometry

The value obtained for the total energy is -6.781 eV per atom. The crystal system is trigonal.

It has space group R-3m (No. 166, hexagonal axes), with a = 3.5593 Å, b = 3.5593 Å, c = 17.4123 Å, α = 90.00°, β = 90.00° and γ = 120.00°. The inequivalent atoms are Pm at (0.0000, 0.0000, 0.0000), Gd at (0.0000, 0.0000, 0.5000) and H at (0.0000, 0.0000, 0.2476).

=====

[4]
Material: Pm4Gd2H
Method: DFT, PBE
State: optimized geometry

The value obtained for the total energy is -7.160 eV per atom. The crystal system is tetragonal.

It has space group I4/mmm (No. 139), with a = 4.933 Å, b = 4.933 Å, c = 17.422 Å, α = 90.00°, β = 90.00° and γ = 90.00°. The inequivalent atoms are Pm at (0.000, 0.000, 0.153), Pm at (0.000, 0.500, 0.000), Gd at (0.000, 0.000, 0.353) and H at (0.000, 0.000, 0.000).

=====

[5]
Material: Pm3Gd5H12
Method: DFT, PBE
State: optimized geometry

The value obtained for the total energy is -6.715 eV per atom. The crystal system is cubic.

It has space group Ia-3d (No. 230), with a = 13.358 Å, b = 13.358 Å, c = 13.358 Å, α = 90.00°, β = 90.00° and γ = 90.00°. The inequivalent atoms are Pm at (0.000, 0.250, 0.125), Gd at (0.000, 0.000, 0.000), Gd at (0.000, 0.250, 0.375) and H at (0.005, 0.070, 0.654).

=====

[6]
Material: PmGd2H
Method: DFT, PBE
State: optimized geometry

The value obtained for the total energy is -9.245 eV per atom. The crystal system is trigonal.

It has space group R-3m (No. 166, hexagonal axes), with a = 3.6442 Å, b = 3.6442 Å, c = 25.8798 Å, α = 90.00°, β = 90.00° and γ = 120.00°. The inequivalent atoms are Pm at (0.0000, 0.0000, 0.0000), Gd at (0.0000, 0.0000, 0.2207) and H at (0.0000, 0.0000, 0.5000).

=====

[7]
Material: PmGd3H
Method: DFT, PBE
State: optimized geometry

The value obtained for the total energy is -10.233 eV per atom. The crystal system is cubic.

It has space group Pm-3m (No. 221), with a = 5.059 Å, b = 5.059 Å, c = 5.059 Å, α = 90.00°, β = 90.00° and γ = 90.00°. The inequivalent atoms are Pm at (0.000, 0.000, 0.000), Gd at (0.000, 0.500, 0.500) and H at (0.500, 0.500, 0.500).

=====

[8]
Material: Pr2GdH
Method: DFT, PBE
State: optimized geometry

The value obtained for the total energy is -6.886 eV per atom. The crystal system is trigonal. As for the relative energy among the computed polymorphs: 0 kJ/mol of formula units.

It has space group R-3m (No. 166, hexagonal axes), with a = 3.7187 Å, b = 3.7187 Å, c = 26.6217 Å, α = 90.00°, β = 90.00° and γ = 120.00°. The inequivalent atoms are Pr at (0.0000, 0.0000, 0.2226), Gd at (0.0000, 0.0000, 0.0000) and H at (0.0000, 0.0000, 0.5000).